1.
# TmCd2Hg4 PBE optimized geometry
data_TmCd2Hg4
_chemical_formula_sum 'Tm3 Cd6 Hg12'
_cell_length_a 4.9878
_cell_length_b 4.9878
_cell_length_c 24.2319
_cell_angle_alpha 90.00
_cell_angle_beta 90.00
_cell_angle_gamma 120.00
_symmetry_space_group_name_H-M 'R -3 m'
_symmetry_Int_Tables_number 166
_symmetry_space_group_name_Hall '-R 3 2"'
loop_
_atom_site_label
_atom_site_type_symbol
_atom_site_fract_x
_atom_site_fract_y
_atom_site_fract_z
_atom_site_occupancy
Tm1 Tm 0.0000 0.0000 0.0000 1
Cd1 Cd 0.0000 0.0000 0.2530 1
Hg1 Hg 0.0000 0.0000 0.1314 1
Hg2 Hg 0.0000 0.0000 0.3835 1
# calculated volume: 522.07 Å³ per cell
# calculated formation energy: -0.167 eV/atom
# DOS at the Fermi energy: 0.579 states/eV/atom
# spin magnetization: 0.0 μB per cell

---

2.
# DyGe2Pt2 PBE optimized geometry
data_DyGe2Pt2
_chemical_formula_sum 'Dy2 Ge4 Pt4'
_cell_length_a 4.384
_cell_length_b 4.384
_cell_length_c 9.843
_cell_angle_alpha 90.00
_cell_angle_beta 90.00
_cell_angle_gamma 90.00
_symmetry_space_group_name_H-M 'I 4/m m m'
_symmetry_Int_Tables_number 139
_symmetry_space_group_name_Hall '-I 4 2'
loop_
_atom_site_label
_atom_site_type_symbol
_atom_site_fract_x
_atom_site_fract_y
_atom_site_fract_z
_atom_site_occupancy
Dy1 Dy 0.000 0.000 0.000 1
Ge1 Ge 0.000 0.000 0.376 1
Pt1 Pt 0.000 0.500 0.250 1
# calculated volume: 189.13 Å³ per cell
# calculated formation energy: -0.808 eV/atom
# DOS at the Fermi energy: 0.567 states/eV/atom
# spin magnetization: 0.0 μB per cell

---

3.
# RbTe2 PBE optimized geometry
data_RbTe2
_chemical_formula_sum 'Rb1 Te2'
_cell_length_a 5.345
_cell_length_b 4.728
_cell_length_c 5.539
_cell_angle_alpha 90.00
_cell_angle_beta 108.76
_cell_angle_gamma 90.00
_symmetry_space_group_name_H-M 'P 1 2/m 1'
_symmetry_Int_Tables_number 10
loop_
_symmetry_equiv_pos_as_xyz
'x,y,z'
'-x,-y,-z'
'-x,y,-z'
'x,-y,z'
loop_
_atom_site_label
_atom_site_type_symbol
_atom_site_fract_x
_atom_site_fract_y
_atom_site_fract_z
_atom_site_occupancy
Rb1 Rb 0.000 0.000 0.000 1
Te1 Te 0.284 0.500 0.604 1
# calculated volume: 132.54 Å³ per cell
# raw formation energy: -1.66 eV/f.u.
# DOS at the Fermi energy: 0.293 states/eV/atom
# spin magnetization: 0.0 μB per cell
# energy above the most stable polymorph in this dataset: 36 meV/atom

---

4.
# NdSm4 PBE optimized geometry
data_NdSm4
_chemical_formula_sum 'Nd3 Sm12'
_cell_length_a 3.6382
_cell_length_b 3.6382
_cell_length_c 44.4936
_cell_angle_alpha 90.00
_cell_angle_beta 90.00
_cell_angle_gamma 120.00
_symmetry_space_group_name_H-M 'R -3 m'
_symmetry_Int_Tables_number 166
_symmetry_space_group_name_Hall '-R 3 2"'
loop_
_atom_site_label
_atom_site_type_symbol
_atom_site_fract_x
_atom_site_fract_y
_atom_site_fract_z
_atom_site_occupancy
Nd1 Nd 0.0000 0.0000 0.0000 1
Sm1 Sm 0.0000 0.0000 0.1999 1
Sm2 Sm 0.0000 0.0000 0.4005 1
# calculated volume: 510.18 Å³ per cell
# calculated formation energy: 0.011 eV/atom
# DOS at the Fermi energy: 1.297 states/eV/atom
# spin magnetization: 0.0 μB per cell
# energy above the most stable polymorph in this dataset: 0 meV/atom